Below is a relaxed Ba3TiO5 crystal, with properties calculated at the PBE-GGA level.

```
Ba3TiO5
1.0
-3.7112 3.7112 5.9962
3.7112 -3.7112 5.9962
3.7112 3.7112 -5.9962
Ba Ti O
6 2 10
direct
0.1811 0.6811 0.8621
0.2500 0.2500 0.0000
0.3189 0.1811 0.5000
0.6811 0.8189 0.5000
0.7500 0.7500 0.0000
0.8189 0.3189 0.1379
0.2500 0.7500 0.5000
0.7500 0.2500 0.5000
0.0000 0.0000 0.0000
0.0188 0.7955 0.5000
0.2045 0.7045 0.2233
0.2955 0.5188 0.5000
0.4812 0.9812 0.7767
0.5000 0.5000 0.0000
0.5188 0.0188 0.2233
0.7045 0.4812 0.5000
0.7955 0.2955 0.7767
0.9812 0.2045 0.5000
```

E = -7.146 eV per atom
Formation energy from raw total energies = -277.26 kJ per mole of atoms


Below is a relaxed BaTiO3 crystal, with properties calculated at the PBE-GGA level.

```
BaTiO3
1.0
5.8189 0.0000 0.0000
-2.9094 5.0393 0.0000
0.0000 0.0000 9.5581
Ba Ti O
4 4 12
direct
0.0000 0.0000 0.0000
0.0000 0.0000 0.5000
0.3333 0.6667 0.2500
0.6667 0.3333 0.7500
0.3333 0.6667 0.6115
0.3333 0.6667 0.8885
0.6667 0.3333 0.1115
0.6667 0.3333 0.3885
0.0000 0.5000 0.0000
0.0000 0.5000 0.5000
0.1851 0.3702 0.7500
0.1851 0.8149 0.7500
0.3702 0.1851 0.2500
0.5000 0.0000 0.0000
0.5000 0.0000 0.5000
0.5000 0.5000 0.0000
0.5000 0.5000 0.5000
0.6298 0.8149 0.7500
0.8149 0.1851 0.2500
0.8149 0.6298 0.2500
```

E = -7.985 eV per atom
Formation energy from raw total energies = -293.92 kJ per mole of atoms


Below is a relaxed BaTi3O6 crystal, with properties calculated at the PBE-GGA level.

```
BaTi3O6
1.0
2.7165 1.5684 4.7932
-2.7165 1.5684 4.7932
0.0000 -3.1368 4.7932
Ba Ti O
1 3 6
direct
0.0000 0.0000 0.0000
0.2523 0.2523 0.2523
0.4573 0.4573 0.4573
0.7624 0.7624 0.7624
0.0416 0.5446 0.4847
0.1640 0.5012 0.8731
0.4847 0.0416 0.5446
0.5012 0.8731 0.1640
0.5446 0.4847 0.0416
0.8731 0.1640 0.5012
```

E = -8.368 eV per atom
Formation energy from raw total energies = -273.30 kJ per mole of atoms